Entry from Alexandria via LeMat-Bulk: a geometry-optimized NdTlO2 structure (PBE).

Geometry as CIF:
```
data_NdTlO2
_cell_length_a 3.6765
_cell_length_b 3.6765
_cell_length_c 20.5303
_cell_angle_alpha 90.00
_cell_angle_beta 90.00
_cell_angle_gamma 120.00
_space_group_name_H-M_alt 'R 3 m'
_space_group_IT_number 160
_space_group_name_Hall 'R 3 -2"'
loop_
_atom_site_label
_atom_site_type_symbol
_atom_site_fract_x
_atom_site_fract_y
_atom_site_fract_z
Nd1 Nd 0.0000 0.0000 0.0000
Tl1 Tl 0.0000 0.0000 0.8174
O1 O 0.0000 0.0000 0.4020
O2 O 0.0000 0.0000 0.6223
```

Output
V = 20.03 Å³/atom
VASP energy = -6.47 eV/atom